No. 1
VASP calculation (SCAN) on a PBEsol-optimized structure of RbSm2Cl7.

Cell: 13.0599 7.0023 12.7250 Å, 90.00 90.00 90.00°
Fractional coordinates of all 40 atoms:
Rb 0.0396 0.2500 0.1945
Rb 0.4604 0.7500 0.6945
Rb 0.5396 0.2500 0.3055
Rb 0.9604 0.7500 0.8055
Sm 0.2340 0.2500 0.5372
Sm 0.2463 0.2500 0.8416
Sm 0.2537 0.7500 0.3416
Sm 0.2660 0.7500 0.0372
Sm 0.7340 0.2500 0.9628
Sm 0.7463 0.2500 0.6584
Sm 0.7537 0.7500 0.1584
Sm 0.7660 0.7500 0.4628
Cl 0.1075 0.7500 0.1854
Cl 0.1178 0.0102 0.4172
Cl 0.1178 0.4898 0.4172
Cl 0.1284 0.0087 0.9600
Cl 0.1284 0.4913 0.9600
Cl 0.1716 0.0053 0.6914
Cl 0.1716 0.4947 0.6914
Cl 0.3284 0.5053 0.1914
Cl 0.3284 0.9947 0.1914
Cl 0.3716 0.5087 0.4600
Cl 0.3716 0.9913 0.4600
Cl 0.3822 0.5102 0.9172
Cl 0.3822 0.9898 0.9172
Cl 0.3925 0.2500 0.6854
Cl 0.6075 0.7500 0.3146
Cl 0.6178 0.0102 0.0828
Cl 0.6178 0.4898 0.0828
Cl 0.6284 0.0087 0.5400
Cl 0.6284 0.4913 0.5400
Cl 0.6716 0.0053 0.8086
Cl 0.6716 0.4947 0.8086
Cl 0.8284 0.5053 0.3086
Cl 0.8284 0.9947 0.3086
Cl 0.8716 0.5087 0.0400
Cl 0.8716 0.9913 0.0400
Cl 0.8822 0.5102 0.5828
Cl 0.8822 0.9898 0.5828
Cl 0.8925 0.2500 0.8146

- formation energy from raw total energies (eV per atom) = -2.52
- crystal system = orthorhombic



No. 2
VASP calculation (SCAN) on a PBEsol-optimized structure of Rb3SnCl.

Cell: 6.1578 6.1578 6.1578 Å, 90.00 90.00 90.00°
Fractional coordinates of all 5 atoms:
Rb 0.0000 0.0000 0.5000
Rb 0.0000 0.5000 0.0000
Rb 0.5000 0.0000 0.0000
Sn 0.5000 0.5000 0.5000
Cl 0.0000 0.0000 0.0000

- formation energy from raw total energies (eV per atom) = -0.80
- crystal system = cubic